Compound: Li2NiO3
Source: the Alexandria database
Functional: GGA+U
Structure: relaxed

Summary:
Energy above the most stable polymorph in this dataset in meV per atom: 81
Final energy in eV per atom: -4.793
Crystal system: monoclinic

Cell: 5.0964 8.5117 4.9316 Å, 90.00 111.22 90.00°
Closest atoms and distances in Å follow each position.
Space group C2/c (No. 15)
Symmetry-distinct sites (fractional):
Li (0.0000, 0.0875, 0.2500)  4 O 1.98-2.02
Li (0.0000, 0.2497, 0.7500)  6 O 2.04-2.12
Ni (0.0000, 0.4157, 0.2500)  6 O 1.88-2.00
O (0.2178, 0.4271, 0.0128)  2 Ni 1.88-1.91, 2 Li 2.02-2.04
O (0.2500, 0.2500, 0.5000)  4 Li 1.98-2.07, 2 Ni 2.00